Entry 1:
ErIrOs after structural relaxation, computed with PBE-GGA.

POSCAR file:
```
ErIrOs
1.0
5.157 0.000 0.000
0.000 5.421 0.000
0.000 0.000 7.693
Er Ir Os
4 4 4
Cartesian
0.000 1.355 0.941
0.000 4.066 6.752
2.578 1.355 2.906
2.578 4.066 4.787
0.000 0.000 3.846
0.000 2.711 3.846
2.578 0.000 0.000
2.578 2.711 0.000
1.289 1.355 5.770
1.289 4.066 1.923
3.867 1.355 5.770
3.867 4.066 1.923
```

Results
For the energy of formation, the calculation gives -572 meV per atom. The excess energy over the best structure of this formula in the dataset is 2.1 kJ/mol of atoms. As for the electronic total energy: -8.79 eV per atom. Its density of states at the Fermi level is 10.62 states/eV per cell.


Entry 2:
PrMgP2Pd5 after structural relaxation, computed with PBE-GGA.

POSCAR file:
```
PrMgP2Pd5
1.0
4.552 0.000 0.000
0.000 4.552 0.000
0.000 0.000 8.330
Pr Mg P Pd
1 1 2 5
Cartesian
0.000 0.000 0.000
0.000 0.000 4.165
2.276 2.276 2.293
2.276 2.276 6.037
0.000 2.276 2.638
0.000 2.276 5.692
2.276 0.000 2.638
2.276 0.000 5.692
2.276 2.276 0.000
```

Results
For the energy of formation, the calculation gives -591 meV per atom. As for the electronic total energy: -5.39 eV per atom. Its density of states at the Fermi level is 4.87 states/eV per cell.


Entry 3:
CaP3Rh5 after structural relaxation, computed with PBE-GGA.

POSCAR file:
```
CaP3Rh5
1.0
1.953 -6.062 0.000
1.953 6.062 0.000
0.000 0.000 12.178
Ca P Rh
2 6 10
Cartesian
1.953 4.236 9.134
1.953 -4.236 3.045
1.953 4.700 3.045
1.953 1.343 0.557
1.953 1.343 5.532
1.953 -1.343 6.646
1.953 -1.343 11.621
1.953 -4.700 9.134
0.000 0.000 0.000
0.000 0.000 6.089
1.953 3.520 0.922
1.953 3.520 5.167
1.953 0.748 7.798
1.953 0.748 10.470
1.953 -0.748 1.709
1.953 -0.748 4.380
1.953 -3.520 7.011
1.953 -3.520 11.256
```

Results
For the energy of formation, the calculation gives -750 meV per atom. As for the electronic total energy: -6.86 eV per atom. Its density of states at the Fermi level is 7.20 states/eV per cell.


Entry 4:
AlNi2Sb after structural relaxation, computed with PBE-GGA.

POSCAR file:
```
AlNi2Sb
1.0
7.860 0.000 0.000
0.000 3.180 0.000
-1.002 0.000 4.836
Al Ni Sb
2 4 2
Cartesian
0.000 0.000 0.000
3.930 1.590 0.000
1.710 1.590 1.054
1.217 0.000 3.782
5.640 0.000 1.054
5.147 1.590 3.782
-0.501 1.590 2.418
3.429 0.000 2.418
```

Results
The formation energy from raw total energies comes out at -0.1265 eV per atom. The excess energy over the best structure of this formula in the dataset is 11.2 kJ/mol of atoms. As for the electronic total energy: -4.98 eV per atom. Its density of states at the Fermi level is 5.02 states/eV per cell.


Entry 5:
Nb2InB after structural relaxation, computed with PBE-GGA.

POSCAR file:
```
Nb2InB
1.0
3.242 0.000 0.000
-1.621 2.808 0.000
0.000 0.000 22.126
Nb In B
6 3 3
Cartesian
0.000 0.000 4.939
0.000 0.000 17.187
0.000 1.872 9.811
0.000 1.872 19.690
1.621 0.936 2.436
1.621 0.936 12.314
0.000 0.000 0.000
0.000 1.872 14.751
1.621 0.936 7.375
0.000 0.000 11.063
0.000 1.872 3.688
1.621 0.936 18.438
```

Results
For the energy of formation, the calculation gives -358 meV per atom. The excess energy over the best structure of this formula in the dataset is 0.0 kJ/mol of atoms. As for the electronic total energy: -7.75 eV per atom. Its density of states at the Fermi level is 2.19 states/eV per cell.


> electronic total energy of number 3 (CaP3Rh5)?

-6.86 eV per atom


> What is the formula in the third record?

CaP3Rh5


What did the first record say?
ErIrOs after structural relaxation, computed with PBE-GGA.

POSCAR file:
```
ErIrOs
1.0
5.157 0.000 0.000
0.000 5.421 0.000
0.000 0.000 7.693
Er Ir Os
4 4 4
Cartesian
0.000 1.355 0.941
0.000 4.066 6.752
2.578 1.355 2.906
2.578 4.066 4.787
0.000 0.000 3.846
0.000 2.711 3.846
2.578 0.000 0.000
2.578 2.711 0.000
1.289 1.355 5.770
1.289 4.066 1.923
3.867 1.355 5.770
3.867 4.066 1.923
```

Results
For the energy of formation, the calculation gives -572 meV per atom. The excess energy over the best structure of this formula in the dataset is 2.1 kJ/mol of atoms. As for the electronic total energy: -8.79 eV per atom. Its density of states at the Fermi level is 10.62 states/eV per cell.